1.
A relaxed DyPPtRh crystal. Source: Alexandria via LeMat-Bulk, functional PBE.

Cell lengths 3.871, 3.871, 9.285 Å; angles 90.00, 90.00, 90.00 degrees
Sites, in units of the cell vectors:
Dy 0.250 0.250 0.225
Dy 0.750 0.750 0.775
P 0.250 0.250 0.652
P 0.750 0.750 0.348
Pt 0.250 0.250 0.909
Pt 0.750 0.750 0.091
Rh 0.250 0.750 0.500
Rh 0.750 0.250 0.500

Properties
crystal system	tetragonal
DFT total energy	-55.83	eV per cell
energy of formation	-4.5	eV per formula unit

---

2.
A relaxed DyP2PtRh5 crystal. Source: Alexandria via LeMat-Bulk, functional PBE.

Cell lengths 4.560, 4.560, 6.871 Å; angles 90.00, 90.00, 90.00 degrees
Sites, in units of the cell vectors:
Dy 0.000 0.000 0.000
P 0.500 0.500 0.340
P 0.500 0.500 0.660
Pt 0.000 0.000 0.500
Rh 0.000 0.500 0.283
Rh 0.000 0.500 0.717
Rh 0.500 0.000 0.283
Rh 0.500 0.000 0.717
Rh 0.500 0.500 0.000

Properties
crystal system	tetragonal
DFT total energy	-62.37	eV per cell
energy of formation	-4.2	eV per formula unit

---

3.
A relaxed Dy2P3PtRh12 crystal. Source: Alexandria via LeMat-Bulk, functional PBE.

Cell lengths 6.683, 6.683, 6.683 Å; angles 82.82, 82.82, 82.82 degrees
Sites, in units of the cell vectors:
Dy 0.124 0.124 0.124
Dy 0.876 0.876 0.876
P 0.000 0.500 0.500
P 0.500 0.000 0.500
P 0.500 0.500 0.000
Pt 0.500 0.500 0.500
Rh 0.132 0.132 0.593
Rh 0.132 0.593 0.132
Rh 0.165 0.674 0.674
Rh 0.326 0.326 0.835
Rh 0.326 0.835 0.326
Rh 0.407 0.868 0.868
Rh 0.593 0.132 0.132
Rh 0.674 0.165 0.674
Rh 0.674 0.674 0.165
Rh 0.835 0.326 0.326
Rh 0.868 0.407 0.868
Rh 0.868 0.868 0.407

Properties
crystal system	trigonal
DFT total energy	-123.12	eV per cell
energy of formation	-3.4	eV per formula unit

---

4.
A relaxed Dy6P2PtS3 crystal. Source: Alexandria via LeMat-Bulk, functional PBE.

Cell lengths 8.922, 8.922, 8.010 Å; angles 103.11, 103.11, 25.60 degrees
Sites, in units of the cell vectors:
Dy 0.001 0.001 0.251
Dy 0.331 0.331 0.421
Dy 0.332 0.332 0.910
Dy 0.668 0.668 0.090
Dy 0.669 0.669 0.579
Dy 0.999 0.999 0.749
P 0.167 0.167 0.334
P 0.833 0.833 0.666
Pt 0.500 0.500 0.000
S 0.169 0.169 0.832
S 0.500 0.500 0.500
S 0.831 0.831 0.168

Properties
crystal system	monoclinic
DFT total energy	-77.82	eV per cell
formation energy without anion corrections	-1.747	eV per atom

---

5.
A relaxed Dy4PPtS2 crystal. Source: Alexandria via LeMat-Bulk, functional PBE.

Cell lengths 6.922, 3.948, 6.968 Å; angles 90.00, 108.88, 90.00 degrees
Sites, in units of the cell vectors:
Dy 0.245 0.000 0.247
Dy 0.249 0.500 0.752
Dy 0.751 0.500 0.248
Dy 0.755 0.000 0.753
P 0.000 0.500 0.000
Pt 0.500 0.000 0.000
S 0.000 0.000 0.500
S 0.500 0.500 0.500

Properties
crystal system	monoclinic
DFT total energy	-51.47	eV per cell
formation energy without anion corrections	-1.669	eV per atom

---

6.
A relaxed DySb2P2Pt7 crystal. Source: Alexandria via LeMat-Bulk, functional PBE.

Cell lengths 15.045, 15.045, 15.045 Å; angles 164.83, 164.83, 21.51 degrees
Sites, in units of the cell vectors:
Dy 0.000 0.000 0.000
Sb 0.211 0.211 0.000
Sb 0.789 0.789 0.000
P 0.381 0.381 0.000
P 0.619 0.619 0.000
Pt 0.075 0.575 0.500
Pt 0.303 0.303 0.000
Pt 0.425 0.925 0.500
Pt 0.500 0.500 0.000
Pt 0.575 0.075 0.500
Pt 0.697 0.697 0.000
Pt 0.925 0.425 0.500

Properties
crystal system	tetragonal
DFT total energy	-74.37	eV per cell
formation energy without anion corrections	-0.701	eV per atom

---

7.
A relaxed Dy4PPtSe2 crystal. Source: Alexandria via LeMat-Bulk, functional PBE.

Cell lengths 7.096, 4.021, 7.131 Å; angles 90.00, 108.89, 90.00 degrees
Sites, in units of the cell vectors:
Dy 0.241 0.000 0.233
Dy 0.256 0.500 0.769
Dy 0.744 0.500 0.231
Dy 0.759 0.000 0.767
P 0.000 0.500 0.000
Pt 0.500 0.000 0.000
Se 0.000 0.000 0.500
Se 0.500 0.500 0.500

Properties
crystal system	monoclinic
DFT total energy	-49.54	eV per cell
formation energy without anion corrections	-1.589	eV per atom

---

8.
A relaxed Dy8PPt3Se4 crystal. Source: Alexandria via LeMat-Bulk, functional PBE.

Cell lengths 8.377, 8.377, 8.377 Å; angles 57.39, 57.39, 57.39 degrees
Sites, in units of the cell vectors:
Dy 0.243 0.745 0.745
Dy 0.244 0.244 0.244
Dy 0.255 0.255 0.757
Dy 0.255 0.757 0.255
Dy 0.745 0.243 0.745
Dy 0.745 0.745 0.243
Dy 0.756 0.756 0.756
Dy 0.757 0.255 0.255
P 0.500 0.500 0.500
Pt 0.000 0.000 0.500
Pt 0.000 0.500 0.000
Pt 0.500 0.000 0.000
Se 0.000 0.000 0.000
Se 0.000 0.500 0.500
Se 0.500 0.000 0.500
Se 0.500 0.500 0.000

Properties
crystal system	trigonal
DFT total energy	-98.61	eV per cell
formation energy without anion corrections	-1.520	eV per atom